Entry 1:
! Cs3WI6 | Alexandria via LeMat-Bulk | PBE | relaxed; values from VASP
! SG ... Fm-3m
! Electronic total energy ... -33.30 eV/cell
! Magnetization ... 3.0 μB/f.u.
! Formation energy (no corrections) ... -0.85 eV/atom
&SYSTEM
  ibrav = 0, nat = 10, ntyp = 3
/
ATOMIC_SPECIES
Cs 132.91 Cs.upf
I 126.90 I.upf
W 183.84 W.upf
CELL_PARAMETERS angstrom
9.058 0.000 0.000
0.000 9.058 0.000
4.529 4.529 6.405
ATOMIC_POSITIONS crystal
Cs 0.500 0.500 0.000
Cs 0.750 0.250 0.500
Cs 0.250 0.750 0.500
I 0.219 0.219 0.562
I 0.781 0.781 0.438
I 0.219 0.219 0.000
I 0.781 0.781 0.000
I 0.781 0.219 0.000
I 0.219 0.781 0.000
W 0.000 0.000 0.000

***

Entry 2:
! Cs2W2I | Alexandria via LeMat-Bulk | PBE | relaxed; values from VASP
! SG ... I4/mmm
! Electronic total energy ... -22.12 eV/cell
! Magnetization ... 0.0 μB/f.u.
! Formation energy (no corrections) ... 1.41 eV/atom
&SYSTEM
  ibrav = 0, nat = 5, ntyp = 3
/
ATOMIC_SPECIES
Cs 132.91 Cs.upf
I 126.90 I.upf
W 183.84 W.upf
CELL_PARAMETERS angstrom
-0.959 -2.948 6.625
6.819 -2.638 -0.187
4.427 0.942 5.097
ATOMIC_POSITIONS crystal
Cs 0.750 0.250 0.500
Cs 0.250 0.750 0.500
I 0.000 0.000 0.000
W 0.381 0.381 0.238
W 0.619 0.619 0.762

***

Entry 3:
! Cs2W2I | Alexandria via LeMat-Bulk | PBE | relaxed; values from VASP
! SG ... P4/mbm
! Electronic total energy ... -45.48 eV/cell
! Magnetization ... 0.0 μB/f.u.
! Formation energy (no corrections) ... 1.28 eV/atom
&SYSTEM
  ibrav = 0, nat = 10, ntyp = 3
/
ATOMIC_SPECIES
Cs 132.91 Cs.upf
I 126.90 I.upf
W 183.84 W.upf
CELL_PARAMETERS angstrom
-7.033 7.060 -4.398
-8.090 -4.467 5.767
0.647 2.339 2.720
ATOMIC_POSITIONS crystal
Cs 0.211 0.711 0.500
Cs 0.711 0.789 0.500
Cs 0.789 0.289 0.500
Cs 0.289 0.211 0.500
I 0.000 0.000 0.000
I 0.500 0.500 0.000
W 0.432 0.932 0.000
W 0.932 0.568 0.000
W 0.568 0.068 0.000
W 0.068 0.432 0.000

***

Entry 4:
! CsW3I | Alexandria via LeMat-Bulk | PBE | relaxed; values from VASP
! SG ... Pm-3m
! Electronic total energy ... -20.52 eV/cell
! Magnetization ... 0.0 μB/f.u.
! Formation energy (no corrections) ... 4.15 eV/atom
&SYSTEM
  ibrav = 0, nat = 5, ntyp = 3
/
ATOMIC_SPECIES
Cs 132.91 Cs.upf
I 126.90 I.upf
W 183.84 W.upf
CELL_PARAMETERS angstrom
5.036 0.000 0.000
0.000 5.036 0.000
0.000 0.000 5.036
ATOMIC_POSITIONS crystal
Cs 0.000 0.000 0.000
I 0.500 0.500 0.500
W 0.000 0.500 0.000
W 0.000 0.000 0.500
W 0.500 0.000 0.000

***

Entry 5:
! Cs2ZrWI | Alexandria via LeMat-Bulk | PBE | relaxed; values from VASP
! SG ... P4/mmm
! Electronic total energy ... -16.11 eV/cell
! Magnetization ... 7.3 μB/f.u.
! Formation energy (no corrections) ... 1.73 eV/atom
&SYSTEM
  ibrav = 0, nat = 5, ntyp = 4
/
ATOMIC_SPECIES
Cs 132.91 Cs.upf
I 126.90 I.upf
Zr 91.22 Zr.upf
W 183.84 W.upf
CELL_PARAMETERS angstrom
7.268 0.000 0.000
0.000 5.610 0.000
0.000 0.000 7.268
ATOMIC_POSITIONS crystal
Cs 0.000 0.000 0.500
Cs 0.500 0.000 0.000
I 0.000 0.000 0.000
Zr 0.500 0.500 0.500
W 0.000 0.500 0.000

***

Entry 6:
! CsYI3 | Alexandria via LeMat-Bulk | PBE | relaxed; values from VASP
! SG ... Pm-3m
! Electronic total energy ... -12.01 eV/cell
! Magnetization ... 1.0 μB/f.u.
! Formation energy (no corrections) ... -0.01 eV/atom
&SYSTEM
  ibrav = 0, nat = 5, ntyp = 3
/
ATOMIC_SPECIES
Cs 132.91 Cs.upf
I 126.90 I.upf
Y 88.91 Y.upf
CELL_PARAMETERS angstrom
-4.912 -0.701 -4.633
2.871 -5.755 -2.172
-3.704 -3.531 4.461
ATOMIC_POSITIONS crystal
Cs 0.000 0.000 0.000
I 0.000 0.500 0.000
I 0.000 0.000 0.500
I 0.500 0.000 0.000
Y 0.500 0.500 0.500

***

Entry 7:
! Cs3Y2I9 | Alexandria via LeMat-Bulk | PBE | relaxed; values from VASP
! SG ... R-3c
! Electronic total energy ... -100.78 eV/cell
! Magnetization ... 0.0 μB/f.u.
! Formation energy (no corrections) ... -1.50 eV/atom
&SYSTEM
  ibrav = 0, nat = 28, ntyp = 3
/
ATOMIC_SPECIES
Cs 132.91 Cs.upf
Y 88.91 Y.upf
I 126.90 I.upf
CELL_PARAMETERS angstrom
-6.939 -0.480 8.822
-9.138 -3.377 -5.595
1.098 -10.993 2.041
ATOMIC_POSITIONS crystal
Cs 0.412 0.750 0.088
Cs 0.250 0.912 0.588
Cs 0.912 0.588 0.250
Cs 0.088 0.412 0.750
Cs 0.750 0.088 0.412
Cs 0.588 0.250 0.912
Y 0.155 0.155 0.155
Y 0.655 0.655 0.655
Y 0.845 0.845 0.845
Y 0.345 0.345 0.345
I 0.733 0.916 0.081
I 0.084 0.919 0.267
I 0.250 0.409 0.091
I 0.584 0.767 0.419
I 0.591 0.909 0.750
I 0.909 0.750 0.591
I 0.233 0.581 0.416
I 0.581 0.416 0.233
I 0.919 0.267 0.084
I 0.081 0.733 0.916
I 0.419 0.584 0.767
I 0.409 0.091 0.250
I 0.767 0.419 0.584
I 0.091 0.250 0.409
I 0.416 0.233 0.581
I 0.750 0.591 0.909
I 0.916 0.081 0.733
I 0.267 0.084 0.919

***

Entry 8:
! CsYI3 | Alexandria via LeMat-Bulk | PBE | relaxed; values from VASP
! SG ... Pm-3m
! Electronic total energy ... -18.31 eV/cell
! Magnetization ... 0.3 μB/f.u.
! Formation energy (no corrections) ... -1.27 eV/atom
&SYSTEM
  ibrav = 0, nat = 5, ntyp = 3
/
ATOMIC_SPECIES
Cs 132.91 Cs.upf
I 126.90 I.upf
Y 88.91 Y.upf
CELL_PARAMETERS angstrom
-5.546 -2.433 0.729
2.508 -5.521 0.659
0.397 0.899 6.020
ATOMIC_POSITIONS crystal
Cs 0.500 0.500 0.500
I 0.000 0.500 0.000
I 0.000 0.000 0.500
I 0.500 0.000 0.000
Y 0.000 0.000 0.000

***

Entry 9:
! Cs2YI4 | Alexandria via LeMat-Bulk | PBE | relaxed; values from VASP
! SG ... I4/mmm
! Electronic total energy ... -23.83 eV/cell
! Magnetization ... 0.6 μB/f.u.
! Formation energy (no corrections) ... -1.35 eV/atom
&SYSTEM
  ibrav = 0, nat = 7, ntyp = 3
/
ATOMIC_SPECIES
Cs 132.91 Cs.upf
I 126.90 I.upf
Y 88.91 Y.upf
CELL_PARAMETERS angstrom
6.072 0.000 0.000
0.000 6.072 0.000
3.036 3.036 9.682
ATOMIC_POSITIONS crystal
Cs 0.639 0.639 0.722
Cs 0.361 0.361 0.278
I 0.839 0.839 0.323
I 0.161 0.161 0.677
I 0.000 0.500 0.000
I 0.500 0.000 0.000
Y 0.000 0.000 0.000

***

Entry 10:
! Cs2YI7 | Alexandria via LeMat-Bulk | PBE | relaxed; values from VASP
! SG ... I4/mmm
! Electronic total energy ... -29.46 eV/cell
! Magnetization ... 0.0 μB/f.u.
! Formation energy (no corrections) ... -1.04 eV/atom
&SYSTEM
  ibrav = 0, nat = 10, ntyp = 3
/
ATOMIC_SPECIES
Cs 132.91 Cs.upf
I 126.90 I.upf
Y 88.91 Y.upf
CELL_PARAMETERS angstrom
8.911 0.000 0.000
0.000 8.911 0.000
4.455 4.455 6.971
ATOMIC_POSITIONS crystal
Cs 0.750 0.250 0.500
Cs 0.250 0.750 0.500
I 0.000 0.000 0.000
I 0.284 0.284 0.431
I 0.716 0.716 0.569
I 0.260 0.260 0.000
I 0.740 0.740 0.000
I 0.740 0.260 0.000
I 0.260 0.740 0.000
Y 0.500 0.500 0.000

***

Entry 11:
! Cs3Y2I8 | Alexandria via LeMat-Bulk | PBE | relaxed; values from VASP
! SG ... R-3m
! Electronic total energy ... -45.29 eV/cell
! Magnetization ... 1.0 μB/f.u.
! Formation energy (no corrections) ... -1.34 eV/atom
&SYSTEM
  ibrav = 0, nat = 13, ntyp = 3
/
ATOMIC_SPECIES
Cs 132.91 Cs.upf
Y 88.91 Y.upf
I 126.90 I.upf
CELL_PARAMETERS angstrom
-3.367 2.271 -8.380
-3.298 -6.631 -5.646
-11.359 -0.301 -0.692
ATOMIC_POSITIONS crystal
Cs 0.000 0.000 0.000
Cs 0.211 0.211 0.367
Cs 0.789 0.789 0.633
Y 0.434 0.434 0.698
Y 0.566 0.566 0.302
I 0.335 0.335 0.995
I 0.665 0.665 0.005
I 0.260 0.804 0.676
I 0.804 0.260 0.676
I 0.260 0.260 0.676
I 0.196 0.740 0.324
I 0.740 0.196 0.324
I 0.740 0.740 0.324

***

Entry 12:
! CsY3I | Alexandria via LeMat-Bulk | PBE | relaxed; values from VASP
! SG ... Pm-3m
! Electronic total energy ... -19.58 eV/cell
! Magnetization ... 1.9 μB/f.u.
! Formation energy (no corrections) ... 0.44 eV/atom
&SYSTEM
  ibrav = 0, nat = 5, ntyp = 3
/
ATOMIC_SPECIES
Cs 132.91 Cs.upf
I 126.90 I.upf
Y 88.91 Y.upf
CELL_PARAMETERS angstrom
-4.296 -3.290 2.409
0.058 -3.549 -4.742
4.077 -3.416 2.607
ATOMIC_POSITIONS crystal
Cs 0.500 0.500 0.500
I 0.000 0.000 0.000
Y 0.000 0.500 0.000
Y 0.000 0.000 0.500
Y 0.500 0.000 0.000

***

Entry 13:
! CsY3I | Alexandria via LeMat-Bulk | PBE | relaxed; values from VASP
! SG ... Pm-3m
! Electronic total energy ... -15.62 eV/cell
! Magnetization ... 0.0 μB/f.u.
! Formation energy (no corrections) ... 1.23 eV/atom
&SYSTEM
  ibrav = 0, nat = 5, ntyp = 3
/
ATOMIC_SPECIES
Cs 132.91 Cs.upf
I 126.90 I.upf
Y 88.91 Y.upf
CELL_PARAMETERS angstrom
-2.545 -3.206 -4.095
3.352 -4.497 1.438
-3.977 -1.738 3.832
ATOMIC_POSITIONS crystal
Cs 0.000 0.000 0.000
I 0.500 0.500 0.500
Y 0.000 0.500 0.000
Y 0.000 0.000 0.500
Y 0.500 0.000 0.000

***

Entry 14:
! CsYZnI6 | Alexandria via LeMat-Bulk | PBE | relaxed; values from VASP
! SG ... P312
! Electronic total energy ... -27.92 eV/cell
! Magnetization ... 0.0 μB/f.u.
! Formation energy (no corrections) ... -1.11 eV/atom
&SYSTEM
  ibrav = 0, nat = 9, ntyp = 4
/
ATOMIC_SPECIES
Cs 132.91 Cs.upf
Y 88.91 Y.upf
Zn 65.41 Zn.upf
I 126.90 I.upf
CELL_PARAMETERS angstrom
-2.356 -6.337 3.659
2.078 -6.933 -2.590
7.161 0.257 5.060
ATOMIC_POSITIONS crystal
Cs 0.000 0.000 0.000
Y 0.667 0.667 0.500
Zn 0.333 0.333 0.500
I 0.015 0.363 0.306
I 0.363 0.015 0.694
I 0.623 0.363 0.694
I 0.014 0.623 0.694
I 0.363 0.623 0.306
I 0.623 0.014 0.306

***

Entry 15:
! Cs2YZnI6 | Alexandria via LeMat-Bulk | PBE | relaxed; values from VASP
! SG ... I4/mmm
! Electronic total energy ... -30.45 eV/cell
! Magnetization ... 0.0 μB/f.u.
! Formation energy (no corrections) ... -1.17 eV/atom
&SYSTEM
  ibrav = 0, nat = 10, ntyp = 4
/
ATOMIC_SPECIES
Cs 132.91 Cs.upf
I 126.90 I.upf
Zn 65.41 Zn.upf
Y 88.91 Y.upf
CELL_PARAMETERS angstrom
8.658 0.000 0.000
0.000 8.658 0.000
4.329 4.329 6.101
ATOMIC_POSITIONS crystal
Cs 0.750 0.250 0.500
Cs 0.250 0.750 0.500
I 0.249 0.249 0.501
I 0.751 0.751 0.499
I 0.248 0.248 0.000
I 0.752 0.752 0.000
I 0.752 0.248 0.000
I 0.248 0.752 0.000
Zn 0.500 0.500 0.000
Y 0.000 0.000 0.000

***

Entry 16:
! CsY2ZrI | Alexandria via LeMat-Bulk | PBE | relaxed; values from VASP
! SG ... P4/mmm
! Electronic total energy ... -20.62 eV/cell
! Magnetization ... 0.0 μB/f.u.
! Formation energy (no corrections) ... 0.65 eV/atom
&SYSTEM
  ibrav = 0, nat = 5, ntyp = 4
/
ATOMIC_SPECIES
Cs 132.91 Cs.upf
I 126.90 I.upf
Y 88.91 Y.upf
Zr 91.22 Zr.upf
CELL_PARAMETERS angstrom
5.904 0.000 0.000
0.000 5.470 0.000
0.000 0.000 5.904
ATOMIC_POSITIONS crystal
Cs 0.500 0.500 0.500
I 0.000 0.000 0.000
Y 0.000 0.000 0.500
Y 0.500 0.000 0.000
Zr 0.000 0.500 0.000

***

Entry 17:
! Cs2Zn2I | Alexandria via LeMat-Bulk | PBE | relaxed; values from VASP
! SG ... I4/mmm
! Electronic total energy ... -6.97 eV/cell
! Magnetization ... 0.0 μB/f.u.
! Formation energy (no corrections) ... -0.23 eV/atom
&SYSTEM
  ibrav = 0, nat = 5, ntyp = 3
/
ATOMIC_SPECIES
Cs 132.91 Cs.upf
I 126.90 I.upf
Zn 65.41 Zn.upf
CELL_PARAMETERS angstrom
-0.872 -0.998 6.914
6.964 0.429 0.941
2.638 4.824 4.614
ATOMIC_POSITIONS crystal
Cs 0.750 0.250 0.500
Cs 0.250 0.750 0.500
I 0.000 0.000 0.000
Zn 0.373 0.373 0.254
Zn 0.627 0.627 0.746

***

Entry 18:
! CsZn3I | Alexandria via LeMat-Bulk | PBE | relaxed; values from VASP
! SG ... Pm-3m
! Electronic total energy ... -4.78 eV/cell
! Magnetization ... 0.0 μB/f.u.
! Formation energy (no corrections) ... 0.29 eV/atom
&SYSTEM
  ibrav = 0, nat = 5, ntyp = 3
/
ATOMIC_SPECIES
Cs 132.91 Cs.upf
I 126.90 I.upf
Zn 65.41 Zn.upf
CELL_PARAMETERS angstrom
6.790 0.000 0.000
0.000 6.790 0.000
0.000 0.000 6.790
ATOMIC_POSITIONS crystal
Cs 0.500 0.500 0.500
I 0.000 0.000 0.000
Zn 0.000 0.500 0.000
Zn 0.000 0.000 0.500
Zn 0.500 0.000 0.000

***

Entry 19:
! Cs12Zn3I5 | Alexandria via LeMat-Bulk | PBE | relaxed; values from VASP
! SG ... Ia-3d
! Electronic total energy ... -134.47 eV/cell
! Magnetization ... 1.4 μB/f.u.
! Formation energy (no corrections) ... -0.59 eV/atom
&SYSTEM
  ibrav = 0, nat = 80, ntyp = 3
/
ATOMIC_SPECIES
Zn 65.41 Zn.upf
I 126.90 I.upf
Cs 132.91 Cs.upf
CELL_PARAMETERS angstrom
20.146 0.000 0.000
-6.715 18.994 0.000
-6.715 -9.497 16.449
ATOMIC_POSITIONS crystal
Zn 0.750 0.375 0.125
Zn 0.875 0.750 0.125
Zn 0.375 0.750 0.625
Zn 0.250 0.125 0.375
Zn 0.875 0.125 0.250
Zn 0.375 0.625 0.250
Zn 0.625 0.375 0.750
Zn 0.125 0.875 0.750
Zn 0.750 0.875 0.625
Zn 0.625 0.250 0.375
Zn 0.125 0.250 0.875
Zn 0.250 0.625 0.875
I 0.125 0.375 0.250
I 0.000 0.500 0.000
I 0.000 0.000 0.000
I 0.375 0.250 0.125
I 0.500 0.000 0.500
I 0.500 0.500 0.000
I 0.125 0.750 0.375
I 0.750 0.125 0.875
I 0.750 0.625 0.375
I 0.375 0.125 0.750
I 0.625 0.875 0.250
I 0.500 0.500 0.500
I 0.500 0.000 0.000
I 0.000 0.000 0.500
I 0.250 0.375 0.625
I 0.250 0.875 0.125
I 0.000 0.500 0.500
I 0.875 0.250 0.625
I 0.625 0.750 0.875
I 0.875 0.625 0.750
Cs 0.720 0.132 0.049
Cs 0.329 0.549 0.417
Cs 0.951 0.368 0.280
Cs 0.549 0.220 0.132
Cs 0.588 0.720 0.671
Cs 0.951 0.583 0.171
Cs 0.329 0.780 0.412
Cs 0.083 0.912 0.132
Cs 0.583 0.951 0.671
Cs 0.720 0.588 0.171
Cs 0.780 0.451 0.368
Cs 0.829 0.917 0.049
Cs 0.132 0.720 0.549
Cs 0.368 0.417 0.088
Cs 0.088 0.917 0.368
Cs 0.412 0.132 0.583
Cs 0.088 0.171 0.220
Cs 0.451 0.671 0.083
Cs 0.829 0.912 0.280
Cs 0.132 0.412 0.083
Cs 0.368 0.951 0.780
Cs 0.583 0.632 0.412
Cs 0.917 0.829 0.549
Cs 0.780 0.329 0.912
Cs 0.417 0.368 0.588
Cs 0.083 0.171 0.451
Cs 0.220 0.671 0.088
Cs 0.171 0.088 0.720
Cs 0.632 0.049 0.220
Cs 0.868 0.588 0.917
Cs 0.549 0.329 0.917
Cs 0.588 0.868 0.417
Cs 0.912 0.829 0.780
Cs 0.912 0.083 0.632
Cs 0.868 0.280 0.451
Cs 0.171 0.083 0.951
Cs 0.632 0.583 0.912
Cs 0.417 0.049 0.329
Cs 0.280 0.412 0.829
Cs 0.220 0.549 0.632
Cs 0.917 0.088 0.868
Cs 0.671 0.220 0.588
Cs 0.451 0.780 0.868
Cs 0.049 0.417 0.829
Cs 0.412 0.280 0.329
Cs 0.049 0.632 0.720
Cs 0.671 0.451 0.583
Cs 0.280 0.868 0.951

***

Entry 20:
! Cs2ZnI5 | Alexandria via LeMat-Bulk | PBE | relaxed; values from VASP
! SG ... P1
! Electronic total energy ... -18.40 eV/cell
! Magnetization ... 1.0 μB/f.u.
! Formation energy (no corrections) ... -0.96 eV/atom
&SYSTEM
  ibrav = 0, nat = 8, ntyp = 3
/
ATOMIC_SPECIES
Cs 132.91 Cs.upf
Zn 65.41 Zn.upf
I 126.90 I.upf
CELL_PARAMETERS angstrom
6.361 -1.207 -4.797
-4.093 5.022 -4.782
0.390 0.655 14.520
ATOMIC_POSITIONS crystal
Cs 0.569 0.074 0.440
Cs 0.072 0.563 0.436
Zn 0.079 0.080 0.932
I 0.235 0.872 0.008
I 0.722 0.722 0.566
I 0.171 0.170 0.526
I 0.870 0.237 0.006
I 0.505 0.506 0.086